Nd12Er3Mg: relaxed, PBE.

Properties
For the calculated formation energy, the calculation gives 14 kJ/mol of formula units. As for the density of states at the Fermi level: 22.30 states/eV/f.u.

Cell lengths 5.113, 5.113, 20.544 Å; angles 90.00, 90.00, 90.00 degrees
Space group P4/mmm (No. 123)
Unique sites:
1 Nd 0.000 0.000 0.000 [1 per cell]
2 Nd 0.000 0.000 0.247 [2 per cell]
3 Nd 0.000 0.000 0.500 [1 per cell]
4 Nd 0.000 0.500 0.124 [4 per cell]
5 Nd 0.000 0.500 0.374 [4 per cell]
6 Er 0.500 0.500 0.248 [2 per cell]
7 Er 0.500 0.500 0.500 [1 per cell]
8 Mg 0.500 0.500 0.000 [1 per cell]

***

CaNi3Ge3: relaxed, PBE.

Properties
For the calculated formation energy, the calculation gives -181 kJ/mol of formula units. As for the density of states at the Fermi level: 3.08 states/eV/f.u.

Cell lengths 6.3025, 6.3025, 21.4385 Å; angles 90.00, 90.00, 120.00 degrees
Space group R-3 (No. 148, hexagonal axes)
Unique sites:
1 Ca 0.0000 0.0000 0.1740 [6 per cell]
2 Ni 0.0266 0.7632 0.7033 [18 per cell]
3 Ge 0.0444 0.6171 0.2593 [18 per cell]

***

WN: relaxed, PBE.

Properties
As for the density of states at the Fermi level: 0.47 states/eV/f.u. For the uncorrected formation energy, the calculation gives -237 meV per atom.

Cell lengths 8.404, 8.404, 2.952 Å; angles 90.00, 90.00, 90.00 degrees
Space group I4/m (No. 87)
Unique sites:
1 W 0.111 0.312 0.000 [8 per cell]
2 N 0.103 0.778 0.000 [8 per cell]

***

ScFe2OsC: relaxed, PBE.

Properties
For the calculated formation energy, the calculation gives -61 kJ/mol of formula units. As for the density of states at the Fermi level: 5.40 states/eV/f.u.

Cell lengths 3.869, 3.869, 4.056 Å; angles 90.00, 90.00, 90.00 degrees
Space group P4/mmm (No. 123)
Unique sites:
1 Sc 0.000 0.000 0.000 [1 per cell]
2 Fe 0.000 0.500 0.500 [2 per cell]
3 Os 0.500 0.500 0.000 [1 per cell]
4 C 0.500 0.500 0.500 [1 per cell]

***

Y3RuI: relaxed, PBE.

Properties
As for the density of states at the Fermi level: 5.68 states/eV/f.u. For the uncorrected formation energy, the calculation gives -219 meV per atom.

Cell lengths 5.421, 5.421, 5.421 Å; angles 90.00, 90.00, 90.00 degrees
Space group Pm-3m (No. 221)
Unique sites:
1 Y 0.000 0.000 0.500 [3 per cell]
2 Ru 0.000 0.000 0.000 [1 per cell]
3 I 0.500 0.500 0.500 [1 per cell]

***

Tl2FeAs: relaxed, PBE.

Properties
For the calculated formation energy, the calculation gives 107 kJ/mol of formula units. As for the density of states at the Fermi level: 3.19 states/eV/f.u.

Cell lengths 3.136, 4.675, 12.685 Å; angles 90.00, 90.00, 90.00 degrees
Space group Imm2 (No. 44)
Unique sites:
1 Tl 0.000 0.000 0.000 [2 per cell]
2 Tl 0.000 0.500 0.195 [2 per cell]
3 Fe 0.000 0.500 0.732 [2 per cell]
4 As 0.000 0.000 0.372 [2 per cell]

***

ZnSbN2: relaxed, PBE.

Properties
As for the density of states at the Fermi level: 1.51 states/eV/f.u. For the uncorrected formation energy, the calculation gives 494 meV per atom.

Cell lengths 3.3687, 3.3687, 18.0076 Å; angles 90.00, 90.00, 120.00 degrees
Space group R-3m (No. 166, hexagonal axes)
Unique sites:
1 Zn 0.0000 0.0000 0.0000 [3 per cell]
2 Sb 0.0000 0.0000 0.5000 [3 per cell]
3 N 0.0000 0.0000 0.1043 [6 per cell]

***

Li2CdIO4: relaxed, PBE.

Properties
As for the density of states at the Fermi level: 1.07 states/eV/f.u. For the uncorrected formation energy, the calculation gives -993 meV per atom.

Cell lengths 6.813, 6.880, 5.417 Å; angles 90.00, 127.27, 90.00 degrees
Space group C2 (No. 5)
Unique sites:
1 Li 0.000 0.000 0.000 [2 per cell]
2 Li 0.000 0.243 0.500 [2 per cell]
3 Cd 0.000 0.536 0.000 [2 per cell]
4 I 0.000 0.789 0.500 [2 per cell]
5 O 0.196 0.015 0.485 [4 per cell]
6 O 0.230 0.805 0.983 [4 per cell]

***

GeI3Br: relaxed, PBE.

Properties
As for the density of states at the Fermi level: 0.00 states/eV/f.u. For the uncorrected formation energy, the calculation gives -351 meV per atom.

Cell lengths 7.198, 7.416, 10.889 Å; angles 86.83, 87.52, 86.49 degrees
Space group P1 (No. 1)
Unique sites:
1 Ge 0.000 0.000 0.000 [1 per cell]
2 Ge 0.372 0.511 0.507 [1 per cell]
3 I 0.436 0.172 0.548 [1 per cell]
4 I 0.448 0.677 0.695 [1 per cell]
5 I 0.567 0.622 0.320 [1 per cell]
6 I 0.827 0.110 0.809 [1 per cell]
7 I 0.876 0.180 0.182 [1 per cell]
8 I 0.958 0.665 0.049 [1 per cell]
9 Br 0.059 0.569 0.467 [1 per cell]
10 Br 0.316 0.047 0.967 [1 per cell]

***

La2CdIrO6: relaxed, PBE.

Properties
As for the density of states at the Fermi level: 6.95 states/eV/f.u. For the uncorrected formation energy, the calculation gives -2149 meV per atom.

Cell lengths 5.654, 6.070, 9.898 Å; angles 90.00, 124.49, 90.00 degrees
Space group P2_1/c (No. 14)
Unique sites:
1 La 0.229 0.067 0.251 [4 per cell]
2 Cd 0.500 0.000 0.000 [2 per cell]
3 Ir 0.000 0.000 0.500 [2 per cell]
4 O 0.100 0.213 0.933 [4 per cell]
5 O 0.242 0.679 0.945 [4 per cell]
6 O 0.352 0.050 0.732 [4 per cell]

***

AcTbAgBi: relaxed, PBE.

Properties
For the calculated formation energy, the calculation gives -157 kJ/mol of formula units. As for the density of states at the Fermi level: 5.26 states/eV/f.u.

Cell lengths 7.876, 7.876, 7.876 Å; angles 90.00, 90.00, 90.00 degrees
Space group F-43m (No. 216)
Unique sites:
1 Ac 0.000 0.000 0.000 [4 per cell]
2 Tb 0.000 0.000 0.500 [4 per cell]
3 Ag 0.250 0.250 0.250 [4 per cell]
4 Bi 0.250 0.250 0.750 [4 per cell]

***

Er4TmSe7: relaxed, PBE.

Properties
As for the density of states at the Fermi level: 1.79 states/eV/f.u. For the uncorrected formation energy, the calculation gives -1836 meV per atom.

Cell lengths 13.248, 3.930, 12.101 Å; angles 90.00, 104.36, 90.00 degrees
Space group Cm (No. 8)
Unique sites:
1 Er 0.000 0.000 0.000 [2 per cell]
2 Er 0.088 0.500 0.390 [2 per cell]
3 Er 0.187 0.000 0.765 [2 per cell]
4 Er 0.387 0.500 0.577 [2 per cell]
5 Tm 0.274 0.500 0.155 [2 per cell]
6 Se 0.047 0.500 0.628 [2 per cell]
7 Se 0.129 0.500 0.930 [2 per cell]
8 Se 0.146 0.000 0.225 [2 per cell]
9 Se 0.227 0.000 0.527 [2 per cell]
10 Se 0.348 0.500 0.793 [2 per cell]
11 Se 0.387 0.000 0.078 [2 per cell]
12 Se 0.427 0.500 0.361 [2 per cell]